Entry 1:
VASP calculation (PBE) on MnIrIN2 after structural relaxation.

Lattice parameters (Å, degrees): 3.657 3.657 5.865 90.00 90.00 90.00
Space group P4/mmm (No. 123)
Inequivalent atoms, fractional coordinates:
1 Mn 0.000 0.000 0.000
2 Ir 0.500 0.500 0.500
3 I 0.000 0.000 0.500
4 N 0.000 0.500 0.000

Computed properties:
For the energy relative to the elements, uncorrected, the calculation gives 1.249 eV/atom. Its calculated volume is 15.68 A^3/atom. The value obtained for the polymorph energy (0 for the lowest one) is 312 meV per atom.

=====

Entry 2:
VASP calculation (PBE) on Mn3PdC after structural relaxation.

Lattice parameters (Å, degrees): 3.799 3.799 3.799 90.00 90.00 90.00
Space group Pm-3m (No. 221)
Inequivalent atoms, fractional coordinates:
1 Mn 0.000 0.000 0.500
2 Pd 0.500 0.500 0.500
3 C 0.000 0.000 0.000

Computed properties:
The formation energy from the elements is 0.148 eV per atom. Its calculated volume is 10.97 A^3/atom. The value obtained for the polymorph energy (0 for the lowest one) is 0 meV per atom.

=====

Entry 3:
VASP calculation (PBE) on TiFe3Cl after structural relaxation.

Lattice parameters (Å, degrees): 4.116 4.116 4.116 90.00 90.00 90.00
Space group Pm-3m (No. 221)
Inequivalent atoms, fractional coordinates:
1 Ti 0.000 0.000 0.000
2 Fe 0.000 0.500 0.500
3 Cl 0.500 0.500 0.500

Computed properties:
For the energy relative to the elements, uncorrected, the calculation gives 0.632 eV/atom. Its calculated volume is 13.95 A^3/atom. The value obtained for the polymorph energy (0 for the lowest one) is 0 meV per atom.

=====

Question: The highest polymorph energy (0 for the lowest one) belongs to which entry?
Answer: MnIrIN2